[1]
4
Lattice="-1.8358 -0.8211 -4.1813 -0.3305 -3.2406 -3.3040 -3.9232 -2.1247 0.8716" Properties=species:S:1:pos:R:3 comment="PBE Cr2SiAg, optimized geometry" density_g_cm3=6.9 e_form_raw_mev_per_atom=276 vol_a3_per_fu=57.42 sg="Cm (8)" total_energy_ev_per_cell=-26.42 pbc="T T T"
Ag -1.6206 -1.5877 -1.5981
Cr -3.7440 -2.0702 0.7143
Cr -4.6752 -4.6933 -4.9224
Si -3.0177 -3.0531 -3.2428


[2]
5
Lattice="6.1107 0.0000 0.0000 0.0000 5.4818 0.0000 0.0000 0.0000 6.1107" Properties=species:S:1:pos:R:3 comment="PBE Sr2GeWI, optimized geometry" density_g_cm3=4.5 e_form_raw_mev_per_atom=1191 vol_a3_per_fu=204.70 sg="P4/mmm (123)" total_energy_ev_per_cell=-16.53 pbc="T T T"
Sr 0.0000 0.0000 3.0554
I 0.0000 0.0000 0.0000
W 3.0554 2.7409 3.0554
Sr 3.0554 0.0000 0.0000
Ge 0.0000 2.7409 0.0000


[3]
12
Lattice="6.5040 0.0000 0.0000 0.0000 4.3896 0.0000 0.0000 0.0000 10.7323" Properties=species:S:1:pos:R:3 comment="PBE SrTcIr, optimized geometry" e_above_lowest_polymorph_ev_per_atom=0.355 density_g_cm3=8.2 vol_a3_per_fu=76.60 sg="Pnma (62)" total_energy_ev_per_cell=-79.34 pbc="T T T"
Ir 1.0851 3.2922 10.0472
Tc 3.4787 1.0974 6.6958
Tc 0.2267 1.0974 9.4027
Sr 5.5894 1.0974 3.9736
Sr 0.9145 3.2922 6.7587
Ir 5.4189 1.0974 0.6851
Sr 2.3375 1.0974 1.3926
Sr 4.1665 3.2922 9.3397
Ir 4.3371 3.2922 6.0513
Tc 6.2773 3.2922 1.3296
Ir 2.1669 1.0974 4.6810
Tc 3.0253 3.2922 4.0366


[4]
11
Lattice="-1.6640 -1.9202 -4.5704 -5.3379 -7.2312 4.9815 -4.2532 4.0650 2.8322" Properties=species:S:1:pos:R:3 comment="PBE Pm5Dy2Hg4, optimized geometry" density_g_cm3=9.6 vol_a3_per_fu=319.17 sg="C2/m (12)" total_energy_ev_per_cell=-37.55 pbc="T T T"
Pm -6.8276 -5.1938 4.6679
Pm -4.4275 0.1074 -1.4246
Pm -6.9423 -2.0070 0.3793
Hg -4.5959 -0.1282 1.7272
Pm -4.3129 -3.0793 2.8640
Dy -3.2241 -3.0312 -0.5442
Hg -9.5572 -4.2474 2.2726
Pm -0.8320 -0.9601 -2.2852
Dy -8.0311 -2.0551 3.7874
Hg -1.6979 -0.8389 0.9707
Hg -6.6592 -4.9581 1.5161